Compound: TaBe2Rh
Source: Alexandria
Functional: GGA-PBE
Structure: optimized geometry

```
TaBe2Rh
1.0
0.000 2.883 2.883
2.883 0.000 2.883
2.883 2.883 0.000
Be Rh Ta
2 1 1
Direct
0.250 0.250 0.250
0.750 0.750 0.750
0.000 0.000 0.000
0.500 0.500 0.500
```

The density is 10.458 g/cm3. Its calculated total energy is -27.6 eV per cell. The energy of formation is -0.22 eV/atom. Its volume is 12.0 A^3/atom.